The following is a DFT calculation (GGA-PBE) of a geometry-optimized Mn2AsCl structure.

Summary:
* calculated density: 4.4 g/cm3
* electronic total energy: -6.407 eV per atom
* magnetization: 7.68 μB/cell
* space-group type: No. 8

Cell lengths 7.0573, 7.0573, 3.5651 Å; angles 104.35, 104.35, 28.61 degrees
With the nearest neighbours (Å) after each atom.
Sites, in units of the cell vectors:
Mn: 0.0000 0.0000 0.0000  4 As 2.55, 1 Cl 2.56
Mn: 0.1781 0.1781 0.6764  2 Cl 2.43, 2 As 2.53
As: 0.5400 0.5400 0.5390  6 Mn 2.53-2.55
Cl: 0.8061 0.8061 0.8105  3 Mn 2.43-2.56

The following is a DFT calculation (GGA-PBE) of a geometry-optimized TbMg2Cu9 structure.

Summary:
* calculated density: 7.3 g/cm3
* electronic total energy: -3.896 eV per atom
* calculated formation energy: -0.17 eV per atom
* magnetization: 0.00 μB/cell
* space-group type: No. 166

Cell lengths 8.5491, 8.5491, 8.5491 Å; angles 34.30, 34.30, 34.30 degrees
With the nearest neighbours (Å) after each atom.
Sites, in units of the cell vectors:
Tb: 0.0000 0.0000 0.0000  18 Cu 2.91-3.24
Mg: 0.1451 0.1451 0.1451  12 Cu 2.88-2.96, 3 Mg 3.09
Mg: 0.8549 0.8549 0.8549  12 Cu 2.88-2.96, 3 Mg 3.09
Cu: 0.0820 0.5860 0.5860  7 Cu 2.46-2.54
Cu: 0.3332 0.3332 0.3332  6 Cu 2.50-2.52
Cu: 0.4140 0.4140 0.9180  7 Cu 2.46-2.54
Cu: 0.4140 0.9180 0.4140  7 Cu 2.46-2.54
Cu: 0.5000 0.5000 0.5000  6 Cu 2.46
Cu: 0.5860 0.0820 0.5860  7 Cu 2.46-2.54
Cu: 0.5860 0.5860 0.0820  7 Cu 2.46-2.54
Cu: 0.6668 0.6668 0.6668  6 Cu 2.50-2.52
Cu: 0.9180 0.4140 0.4140  7 Cu 2.46-2.54

The following is a DFT calculation (GGA-PBE) of a geometry-optimized GdErPdPt structure.

Summary:
* calculated density: 12.1 g/cm3
* electronic total energy: -8.522 eV per atom
* calculated formation energy: -1.05 eV per atom
* magnetization: 7.24 μB/cell
* space-group type: No. 216

Cell lengths 4.9547, 4.9547, 4.9547 Å; angles 60.00, 60.00, 60.00 degrees
With the nearest neighbours (Å) after each atom.
Sites, in units of the cell vectors:
Gd: 0.0000 0.0000 0.0000  4 Pt 3.03, 4 Pd 3.03
Er: 0.5000 0.5000 0.5000  4 Pd 3.03, 4 Pt 3.03
Pd: 0.7500 0.7500 0.7500  4 Er 3.03, 4 Gd 3.03
Pt: 0.2500 0.2500 0.2500  4 Er 3.03, 4 Gd 3.03

The following is a DFT calculation (GGA-PBE) of a geometry-optimized Al8PdRh2 structure.

Summary:
* calculated density: 5.2 g/cm3
* electronic total energy: -5.109 eV per atom
* calculated formation energy: -0.58 eV per atom
* magnetization: 0.00 μB/cell
* space-group type: No. 2

Cell lengths 4.7778, 5.2125, 7.6300 Å; angles 70.73, 72.33, 89.94 degrees
With the nearest neighbours (Å) after each atom.
Sites, in units of the cell vectors:
Al: 0.1013 0.1030 0.2932  2 Rh 2.71-2.74, 2 Pd 2.77-2.78, 7 Al 2.82-2.96
Al: 0.2499 0.5577 0.4998  2 Al 2.46, 2 Rh 2.52-2.54, 1 Pd 2.60
Al: 0.3169 0.0756 0.8609  3 Rh 2.55-2.75, 2 Al 2.56-2.66, 1 Pd 2.78
Al: 0.3329 0.5685 0.8549  3 Rh 2.55-2.74, 2 Al 2.56-2.66, 1 Pd 2.77
Al: 0.6671 0.4315 0.1451  3 Rh 2.55-2.74, 2 Al 2.56-2.66, 1 Pd 2.77
Al: 0.6831 0.9244 0.1391  3 Rh 2.55-2.75, 2 Al 2.56-2.66, 1 Pd 2.78
Al: 0.7501 0.4423 0.5002  2 Al 2.46, 2 Rh 2.52-2.54, 1 Pd 2.60
Al: 0.8987 0.8970 0.7068  2 Rh 2.71-2.74, 2 Pd 2.77-2.78, 7 Al 2.82-2.96
Pd: 0.5000 0.0000 0.5000  10 Al 2.60-2.78
Rh: 0.1579 0.6620 0.1759  10 Al 2.52-2.75
Rh: 0.8421 0.3380 0.8241  10 Al 2.52-2.75

The following is a DFT calculation (GGA-PBE) of a geometry-optimized NpPaCu2O8 structure.

Summary:
* calculated density: 7.6 g/cm3
* electronic total energy: -7.889 eV per atom
* magnetization: 1.85 μB/cell
* space-group type: No. 119

Cell lengths 5.8914, 5.8914, 5.8914 Å; angles 110.52, 110.52, 107.39 degrees
With the nearest neighbours (Å) after each atom.
Sites, in units of the cell vectors:
Np: 0.0000 0.0000 0.0000  4 O 2.02
Pa: 0.7500 0.2500 0.5000  4 O 2.13
Cu: 0.2500 0.7500 0.5000  4 O 1.95
Cu: 0.5000 0.5000 0.0000  4 O 1.89
O: 0.0501 0.3465 0.2964  1 Cu 1.95, 1 Np 2.02
O: 0.0501 0.7538 0.7036  1 Cu 1.95, 1 Np 2.02
O: 0.1111 0.2985 0.8126  1 Cu 1.89
O: 0.2462 0.9499 0.2964  1 Cu 1.95, 1 Np 2.02
O: 0.4858 0.2985 0.1874  1 Cu 1.89
O: 0.6535 0.9499 0.7036  1 Cu 1.95, 1 Np 2.02
O: 0.7015 0.5142 0.8126  1 Cu 1.89
O: 0.7015 0.8889 0.1874  1 Cu 1.89

The following is a DFT calculation (GGA-PBE) of a geometry-optimized Cs4Pa3Se10 structure.

Summary:
* calculated density: 5.3 g/cm3
* electronic total energy: -5.292 eV per atom
* magnetization: 0.00 μB/cell
* space-group type: No. 139

Cell lengths 20.6090, 20.6090, 20.6090 Å; angles 164.49, 164.49, 22.01 degrees
With the nearest neighbours (Å) after each atom.
Sites, in units of the cell vectors:
Cs: 0.0688 0.0688 0.0000  12 Se 3.88-3.94
Cs: 0.2035 0.2035 0.0000  9 Se 3.75-3.93
Cs: 0.7965 0.7965 0.0000  9 Se 3.75-3.93
Cs: 0.9312 0.9312 0.0000  12 Se 3.88-3.94
Pa: 0.3616 0.3616 0.0000  6 Se 2.64-2.86
Pa: 0.5000 0.5000 0.0000  6 Se 2.74-2.78
Pa: 0.6384 0.6384 0.0000  6 Se 2.64-2.86
Se: 0.0000 0.5000 0.5000  2 Pa 2.78
Se: 0.1355 0.6355 0.5000  2 Pa 2.78
Se: 0.2963 0.2963 0.0000  1 Pa 2.64
Se: 0.3645 0.8645 0.5000  2 Pa 2.78
Se: 0.4322 0.4322 0.0000  2 Pa 2.74-2.86
Se: 0.5000 0.0000 0.5000  2 Pa 2.78
Se: 0.5678 0.5678 0.0000  2 Pa 2.74-2.86
Se: 0.6355 0.1355 0.5000  2 Pa 2.78
Se: 0.7037 0.7037 0.0000  1 Pa 2.64
Se: 0.8645 0.3645 0.5000  2 Pa 2.78

The following is a DFT calculation (GGA-PBE) of a geometry-optimized NaCd5Hg3 structure.

Summary:
* calculated density: 9.1 g/cm3
* electronic total energy: -0.793 eV per atom
* calculated formation energy: -0.04 eV per atom
* magnetization: 0.00 μB/cell
* space-group type: No. 193

Cell lengths 8.9029, 8.9029, 6.2949 Å; angles 90.00, 90.00, 120.00 degrees
With the nearest neighbours (Å) after each atom.
Sites, in units of the cell vectors:
Na: 0.0000 0.0000 0.0000  2 Na 3.15, 6 Hg 3.23, 6 Cd 3.51
Na: 0.0000 0.0000 0.5000  2 Na 3.15, 6 Hg 3.23, 6 Cd 3.51
Cd: 0.0000 0.3522 0.2500  5 Hg 2.95-3.16, 4 Cd 3.29
Cd: 0.0000 0.6478 0.7500  5 Hg 2.95-3.16, 4 Cd 3.29
Cd: 0.3333 0.6667 0.0000  8 Cd 3.15-3.29, 6 Hg 3.43
Cd: 0.3333 0.6667 0.5000  8 Cd 3.15-3.29, 6 Hg 3.43
Cd: 0.3522 0.0000 0.2500  5 Hg 2.95-3.16, 4 Cd 3.29
Cd: 0.3522 0.3522 0.7500  5 Hg 2.95-3.16, 4 Cd 3.29
Cd: 0.6478 0.0000 0.7500  5 Hg 2.95-3.16, 4 Cd 3.29
Cd: 0.6478 0.6478 0.2500  5 Hg 2.95-3.16, 4 Cd 3.29
Cd: 0.6667 0.3333 0.0000  8 Cd 3.15-3.29, 6 Hg 3.43
Cd: 0.6667 0.3333 0.5000  8 Cd 3.15-3.29, 6 Hg 3.43
Hg: 0.0000 0.3169 0.7500  5 Cd 2.95-3.16, 2 Na 3.23
Hg: 0.0000 0.6831 0.2500  5 Cd 2.95-3.16, 2 Na 3.23
Hg: 0.3169 0.0000 0.7500  5 Cd 2.95-3.16, 2 Na 3.23
Hg: 0.3169 0.3169 0.2500  5 Cd 2.95-3.16, 2 Na 3.23
Hg: 0.6831 0.0000 0.2500  5 Cd 2.95-3.16, 2 Na 3.23
Hg: 0.6831 0.6831 0.7500  5 Cd 2.95-3.16, 2 Na 3.23

The following is a DFT calculation (GGA-PBE) of a geometry-optimized ZrGeO2 structure.

Summary:
* calculated density: 5.2 g/cm3
* electronic total energy: -7.771 eV per atom
* magnetization: 0.00 μB/cell
* space-group type: No. 166

Cell lengths 7.1699, 7.1699, 7.1699 Å; angles 26.01, 26.01, 26.01 degrees
With the nearest neighbours (Å) after each atom.
Sites, in units of the cell vectors:
Zr: 0.0000 0.0000 0.0000  6 O 2.18
Ge: 0.5000 0.5000 0.5000  2 O 2.33
O: 0.3877 0.3877 0.3877  3 Zr 2.18, 1 Ge 2.33
O: 0.6123 0.6123 0.6123  3 Zr 2.18, 1 Ge 2.33

The following is a DFT calculation (GGA-PBE) of a geometry-optimized Pr2DyAg structure.

Summary:
* calculated density: 7.7 g/cm3
* electronic total energy: -4.190 eV per atom
* calculated formation energy: 0.06 eV per atom
* magnetization: 0.00 μB/cell
* space-group type: No. 225

Cell lengths 5.5254, 5.5254, 5.5254 Å; angles 60.00, 60.00, 60.00 degrees
With the nearest neighbours (Å) after each atom.
Sites, in units of the cell vectors:
Pr: 0.2500 0.2500 0.2500  4 Dy 3.38, 4 Ag 3.38
Pr: 0.7500 0.7500 0.7500  4 Dy 3.38, 4 Ag 3.38
Dy: 0.0000 0.0000 0.0000  8 Pr 3.38
Ag: 0.5000 0.5000 0.5000  8 Pr 3.38

Number 3 is which compound? GdErPdPt

Which value of calculated density does entry 2 give? 7.3 g/cm3

Which value of calculated density does entry 7 give? 9.1 g/cm3